BaVOs2O8 | PBE+U | relaxed

N(E_F): 4.25 states/eV per cell
Symmetry: P-3 (147)
Electronic total energy: -7.31 eV/atom

Cell lengths 5.433, 5.433, 7.570 Å; angles 90.00, 90.00, 120.00 degrees
Sites, in units of the cell vectors:
Ba: 0.000 0.000 0.000
V: 0.000 0.000 0.500
Os: 0.333 0.667 0.715
Os: 0.667 0.333 0.285
O: 0.038 0.309 0.668
O: 0.271 0.962 0.668
O: 0.309 0.271 0.332
O: 0.333 0.667 0.956
O: 0.667 0.333 0.044
O: 0.691 0.729 0.668
O: 0.729 0.038 0.332
O: 0.962 0.691 0.332